1.
Below is a relaxed TbPr3Nd3Zn2 crystal, with properties calculated at the PBE-GGA level.

The structure in extended XYZ format:
```
9
Lattice="3.726 0.000 0.000 0.000 9.270 0.000 0.000 -4.635 8.028" Properties=species:S:1:pos:R:3 pbc="T T T"
Nd 0.000 3.504 0.000
Pr 1.863 6.373 0.000
Tb 0.000 0.000 0.000
Nd 0.000 2.883 4.994
Nd 0.000 -1.752 3.035
Pr 1.863 -3.187 5.519
Zn 1.863 0.000 5.352
Zn 1.863 4.635 2.676
Pr 1.863 1.449 2.509
```

Properties
Calculated total energy = -36.01 eV for the cell shown
N(E_F) = 12.7 states/eV/f.u.
Total magnetic moment = 0.00 Bohr magnetons per cell

2.
Below is a relaxed Ba4InPb2 crystal, with properties calculated at the PBE-GGA level.

The structure in extended XYZ format:
```
7
Lattice="5.784 0.000 1.807 2.610 5.162 1.807 -0.080 -0.049 10.418" Properties=species:S:1:pos:R:3 pbc="T T T"
Ba 5.221 3.211 3.609
Ba 1.003 0.617 6.949
Ba 7.310 4.495 7.083
Ba 3.092 1.902 10.423
Pb 2.090 1.285 3.472
Pb 6.224 3.827 10.560
In 0.000 0.000 0.000
```

Properties
Calculated total energy = -21.00 eV for the cell shown
N(E_F) = 5.1 states/eV/f.u.
Total magnetic moment = 0.02 Bohr magnetons per cell

3.
Below is a relaxed Cu5Ni2Pt4 crystal, with properties calculated at the PBE-GGA level.

The structure in extended XYZ format:
```
11
Lattice="-1.446 -1.296 1.820 5.372 -2.959 2.161 0.763 6.638 5.332" Properties=species:S:1:pos:R:3 pbc="T T T"
Ni 0.789 4.047 3.508
Pt 1.174 1.422 3.891
Cu 3.284 0.238 2.778
Cu 1.199 0.511 1.316
Cu 2.851 3.441 4.715
Cu 2.686 -1.480 1.080
Pt 3.515 0.961 5.422
Ni 5.346 -0.369 3.985
Pt 3.832 -2.400 3.281
Cu 4.936 3.168 6.177
Pt 0.857 4.783 6.032
```

Properties
Energy above the lowest structure with this stoichiometry = 0 meV per atom
Calculated total energy = -56.87 eV for the cell shown
N(E_F) = 11.5 states/eV/f.u.
Total magnetic moment = 1.16 Bohr magnetons per cell

4.
Below is a relaxed TbHo2Sc crystal, with properties calculated at the PBE-GGA level.

The structure in extended XYZ format:
```
4
Lattice="3.506 0.000 0.000 1.753 3.036 0.000 1.753 1.012 11.127" Properties=species:S:1:pos:R:3 pbc="T T T"
Ho 1.753 1.012 8.442
Sc 3.506 2.024 0.011
Ho 1.753 1.012 2.686
Tb 3.506 2.024 5.553
```

Properties
Energy above the lowest structure with this stoichiometry = 7 meV per atom
Calculated total energy = -19.98 eV for the cell shown
N(E_F) = 6.0 states/eV/f.u.
Total magnetic moment = 0.00 Bohr magnetons per cell

5.
Below is a relaxed CePuGa4 crystal, with properties calculated at the PBE-GGA level.

The structure in extended XYZ format:
```
6
Lattice="-4.148 -2.671 2.504 0.500 -1.549 5.288 -2.962 2.545 3.920" Properties=species:S:1:pos:R:3 pbc="T T T"
Ce 0.000 0.000 0.000
Pu -1.652 -0.419 2.928
Ga -4.379 -0.273 4.678
Ga -2.651 -2.317 5.361
Ga -4.130 -1.047 7.318
Ga -2.059 0.287 6.067
```

Properties
Calculated total energy = -35.34 eV for the cell shown
N(E_F) = 9.9 states/eV/f.u.
Total magnetic moment = 6.77 Bohr magnetons per cell

6.
Below is a relaxed SrFe2Pb crystal, with properties calculated at the PBE-GGA level.

The structure in extended XYZ format:
```
4
Lattice="4.981 -0.068 0.000 0.069 4.981 0.000 -2.525 -2.456 3.522" Properties=species:S:1:pos:R:3 pbc="T T T"
Pb 2.525 2.456 0.000
Fe 0.000 0.000 0.000
Sr 2.491 -0.034 1.761
Fe 0.035 2.491 1.761
```

Properties
Calculated total energy = -19.79 eV for the cell shown
N(E_F) = 5.0 states/eV/f.u.
Total magnetic moment = 5.79 Bohr magnetons per cell

7.
Below is a relaxed OsW2Au crystal, with properties calculated at the PBE-GGA level.

The structure in extended XYZ format:
```
8
Lattice="-4.135 2.771 5.326 -2.397 -6.691 1.620 -1.223 -2.269 5.219" Properties=species:S:1:pos:R:3 pbc="T T T"
W -3.457 -3.424 6.581
W -3.034 0.224 4.636
W -6.542 -4.880 9.932
Au 0.000 0.000 0.000
Au -4.312 -0.729 7.009
Os -3.266 -1.960 3.473
W -2.477 -4.298 3.184
Os -3.443 -5.460 5.156
```

Properties
Energy above the lowest structure with this stoichiometry = 655 meV per atom
Calculated total energy = -73.94 eV for the cell shown
N(E_F) = 3.9 states/eV/f.u.
Total magnetic moment = 0.00 Bohr magnetons per cell

8.
Below is a relaxed Sr2AgTe2 crystal, with properties calculated at the PBE-GGA level.

The structure in extended XYZ format:
```
10
Lattice="-1.144 6.565 -5.788 -1.239 -5.900 -6.447 -4.210 -0.011 0.819" Properties=species:S:1:pos:R:3 pbc="T T T"
Te -0.941 3.386 -4.790
Sr -2.691 1.373 -2.585
Sr -3.504 3.508 -6.732
Sr -3.088 -2.854 -4.684
Ag 0.000 0.000 0.000
Te -1.778 1.684 -9.114
Te -0.605 -1.018 -3.121
Sr -3.901 -0.718 -8.831
Ag -1.191 0.333 -6.118
Te -1.441 -2.720 -7.445
```

Properties
Energy above the lowest structure with this stoichiometry = 0 meV per atom
Calculated total energy = -35.30 eV for the cell shown
N(E_F) = 3.0 states/eV/f.u.
Total magnetic moment = 0.00 Bohr magnetons per cell

9.
Below is a relaxed CaCu2SiAu4 crystal, with properties calculated at the PBE-GGA level.

The structure in extended XYZ format:
```
8
Lattice="-1.937 3.460 2.085 -3.056 -0.734 3.192 4.390 0.818 7.534" Properties=species:S:1:pos:R:3 pbc="T T T"
Ca 0.000 0.000 0.000
Au -2.135 1.799 4.657
Cu -0.092 0.885 3.258
Si -0.302 1.772 6.406
Cu -0.511 2.658 9.553
Au -2.590 2.690 7.570
Au 1.986 0.854 5.241
Au 1.532 1.744 8.154
```

Properties
Calculated total energy = -30.06 eV for the cell shown
N(E_F) = 2.6 states/eV/f.u.
Total magnetic moment = 0.00 Bohr magnetons per cell

10.
Below is a relaxed Zr2AlPb crystal, with properties calculated at the PBE-GGA level.

The structure in extended XYZ format:
```
4
Lattice="3.184 0.264 0.000 -0.270 3.183 0.000 0.000 0.000 9.039" Properties=species:S:1:pos:R:3 pbc="T T T"
Al 0.000 0.000 4.310
Zr 1.457 1.723 2.407
Pb 1.457 1.723 6.712
Zr 0.000 0.000 0.130
```

Properties
Calculated total energy = -24.53 eV for the cell shown
N(E_F) = 3.3 states/eV/f.u.
Total magnetic moment = 0.00 Bohr magnetons per cell

11.
Below is a relaxed Mg2Cd5Hg5 crystal, with properties calculated at the PBE-GGA level.

The structure in extended XYZ format:
```
12
Lattice="-0.230 3.525 2.926 3.579 -2.374 6.736 9.484 2.023 1.904" Properties=species:S:1:pos:R:3 pbc="T T T"
Cd 6.615 1.212 2.655
Cd 2.107 2.243 4.654
Hg 3.369 0.554 6.788
Mg 4.415 -0.212 4.198
Hg 9.303 1.674 9.500
Mg 8.417 3.387 7.368
Hg 6.416 1.587 5.783
Hg 9.464 2.620 4.778
Cd 0.000 0.000 0.000
Cd 6.218 1.962 8.911
Hg 3.530 1.500 2.065
Cd 10.726 0.931 6.912
```

Properties
Energy above the lowest structure with this stoichiometry = 18 meV per atom
Calculated total energy = -9.53 eV for the cell shown
N(E_F) = 4.6 states/eV/f.u.
Total magnetic moment = 0.00 Bohr magnetons per cell

12.
Below is a relaxed NdMg2Au3 crystal, with properties calculated at the PBE-GGA level.

The structure in extended XYZ format:
```
12
Lattice="-0.872 5.695 -0.987 0.832 -1.056 -6.825 -6.723 -0.749 1.620" Properties=species:S:1:pos:R:3 pbc="T T T"
Au -3.632 3.722 -1.278
Mg -1.158 1.855 -5.581
Nd -2.189 0.820 -1.988
Mg -5.605 2.036 -0.610
Nd -4.575 3.071 -4.204
Au -1.540 3.637 -3.616
Au -5.884 -0.312 -5.252
Au -0.880 4.203 -0.940
Au -3.132 0.168 -4.914
Au -5.223 0.253 -2.576
Mg -0.722 -0.993 -5.088
Mg -5.169 -0.812 -0.116
```

Properties
Energy above the lowest structure with this stoichiometry = 84 meV per atom
Calculated total energy = -42.75 eV for the cell shown
N(E_F) = 2.0 states/eV/f.u.
Total magnetic moment = 0.00 Bohr magnetons per cell

Question: calculated total energy of number 3 (Cu5Ni2Pt4)?
Answer: -56.87 eV for the cell shown